# Li2Ac3Hg3

An optimized crystal structure of Li2Ac3Hg3 (GGA-PBE, Alexandria via LeMat-Bulk).

a = 5.022 Å, b = 11.071 Å, c = 16.749 Å
α = 90.00°, β = 90.00°, γ = 90.00°
Space group Cmcm (No. 63)
Asymmetric unit:
Li 0.000 0.221 0.090 (multiplicity 8)
Ac 0.000 0.081 0.607 (multiplicity 8)
Ac 0.000 0.381 0.750 (multiplicity 4)
Hg 0.000 0.320 0.250 (multiplicity 4)
Hg 0.000 0.377 0.547 (multiplicity 8)

Computed properties:
Spin magnetization (μB/cell): 0.00
E_form (eV/atom): -0.36
E (eV per atom): -2.497
Offset from the most stable computed form (meV/atom): 0.0